## ZrMnHRh2 (PBE)

Data for crystalline ZrMnHRh2 at its relaxed geometry.

Results
DOS at the Fermi energy ... 3.3 states/eV/f.u.
ρ ... 8.9 g/cm³
Relative energy among the computed polymorphs ... 0.067 eV/atom
E ... -7.531 eV per atom

a = 4.0238 Å, b = 4.0238 Å, c = 4.0472 Å
α = 90.00°, β = 90.00°, γ = 90.00°
With the nearest neighbours (Å) after each atom.
Sites, in units of the cell vectors:
Mn: 0.5000 0.5000 0.5000  4 Zr 2.85, 8 Rh 2.85
H: 0.0000 0.0000 0.0000  4 Rh 2.01, 2 Zr 2.02
Rh: 0.5000 0.0000 0.0000  2 H 2.01
Rh: 0.0000 0.5000 0.0000  2 H 2.01
Zr: 0.0000 0.0000 0.5000  2 H 2.02

=====

## ZrMn2HRh (PBE)

Data for crystalline ZrMn2HRh at its relaxed geometry.

Results
DOS at the Fermi energy ... 2.9 states/eV/f.u.
ρ ... 8.0 g/cm³
Relative energy among the computed polymorphs ... 0.032 eV/atom
E ... -7.700 eV per atom

a = 4.0043 Å, b = 4.0043 Å, c = 3.9643 Å
α = 90.00°, β = 90.00°, γ = 90.00°
With the nearest neighbours (Å) after each atom.
Sites, in units of the cell vectors:
Zr: 0.5000 0.5000 0.5000  8 Mn 2.82, 4 Rh 2.83
H: 0.0000 0.0000 0.0000  2 Rh 1.98, 4 Mn 2.00
Mn: 0.5000 0.0000 0.0000  2 H 2.00
Mn: 0.0000 0.5000 0.0000  2 H 2.00
Rh: 0.0000 0.0000 0.5000  2 H 1.98